# 1
Material: KSr2I5
Method: DFT, GGA-PBE
State: optimized geometry

Summary:
The value obtained for the density is 4.21 g/cm³. The energy above the most stable polymorph in this dataset comes out at 0.0 meV per atom. Its uncorrected formation energy is -1.63 eV/atom. The calculated volume is 41.88 Å³ per atom.

abc: 9.1010 10.0780 14.6103
angles: 89.89 90.00 90.00
Positions (direct):
Sr (0.4777, 0.0033, 0.8202)
I (0.6686, 0.4642, 0.4084)
I (0.9570, 0.7813, 0.4976)
K (0.5377, 0.4934, 0.1730)
I (0.3076, 0.2315, 0.2847)
I (0.3314, 0.5358, 0.5916)
I (0.3393, 0.9606, 0.6006)
Sr (0.0223, 0.0033, 0.3202)
I (0.4570, 0.2187, 0.0024)
I (0.5430, 0.7813, 0.9976)
I (0.3307, 0.7797, 0.3188)
Sr (0.9295, 0.7497, 0.9951)
I (0.1607, 0.9606, 0.1006)
I (0.8307, 0.2203, 0.1812)
K (0.0377, 0.5066, 0.3270)
I (0.8076, 0.7685, 0.2153)
I (0.6693, 0.2203, 0.6812)
I (0.6607, 0.0394, 0.3994)
I (0.1686, 0.5358, 0.0916)
I (0.8393, 0.0394, 0.8994)
Sr (0.5705, 0.7497, 0.4951)
Sr (0.9777, 0.9967, 0.6798)
K (0.9623, 0.4934, 0.6730)
I (0.8314, 0.4642, 0.9084)
I (0.0430, 0.2187, 0.5024)
I (0.6924, 0.7685, 0.7153)
Sr (0.0705, 0.2503, 0.0049)
I (0.1693, 0.7797, 0.8188)
I (0.1924, 0.2315, 0.7847)
Sr (0.4295, 0.2503, 0.5049)
K (0.4623, 0.5066, 0.8270)
Sr (0.5223, 0.9967, 0.1798)

# 2
Material: K2SrI
Method: DFT, GGA-PBE
State: optimized geometry

Summary:
The value obtained for the density is 2.07 g/cm³. The energy above the most stable polymorph in this dataset comes out at 139.7 meV per atom. Its uncorrected formation energy is -0.46 eV/atom. The calculated volume is 58.81 Å³ per atom.

abc: 11.3437 11.3437 8.8152
angles: 49.95 49.95 90.00
Positions (direct):
K (0.7027, 0.1250, 0.2500)
Sr (0.2500, 0.7500, 0.5000)
K (0.0473, 0.6250, 0.2500)
K (0.3750, 0.2973, 0.7500)
I (0.7500, 0.2500, 0.5000)
K (0.8750, 0.9527, 0.7500)
Sr (0.5000, 0.5000, 0.0000)
I (0.0000, 0.0000, 0.0000)

# 3
Material: KSrI3
Method: DFT, GGA-PBE
State: optimized geometry

Summary:
The value obtained for the density is 3.71 g/cm³. Its uncorrected formation energy is -1.61 eV/atom. The calculated volume is 45.47 Å³ per atom.

abc: 4.7781 8.2256 12.0912
angles: 90.00 90.00 106.88
Positions (direct):
Sr (0.0000, 0.0000, 0.7596)
I (0.6377, 0.2754, 0.8226)
Sr (0.0000, 0.0000, 0.2596)
I (0.9172, 0.8349, 0.0096)
I (0.0828, 0.1651, 0.5096)
I (0.6377, 0.2754, 0.1965)
I (0.3623, 0.7246, 0.6965)
K (0.2513, 0.5027, 0.0095)
K (0.7487, 0.4973, 0.5095)
I (0.3623, 0.7246, 0.3226)

# 4
Material: KSrI3
Method: DFT, GGA-PBE
State: optimized geometry

Summary:
The value obtained for the density is 3.13 g/cm³. Its uncorrected formation energy is -1.58 eV/atom. The calculated volume is 53.92 Å³ per atom.

abc: 8.5594 8.5285 8.5285
angles: 120.00 90.00 90.00
Positions (direct):
I (0.7500, 0.3573, 0.3094)
I (0.2500, 0.9522, 0.3094)
Sr (0.0000, 0.6667, 0.3333)
I (0.2500, 0.6906, 0.6427)
I (0.7500, 0.9522, 0.6427)
I (0.7500, 0.6906, 0.0478)
Sr (0.5000, 0.6667, 0.3333)
I (0.2500, 0.3573, 0.0478)
K (0.5000, 0.0000, 0.0000)
K (0.0000, 0.0000, 0.0000)

# 5
Material: KSrI2
Method: DFT, GGA-PBE
State: optimized geometry

Summary:
The value obtained for the density is 3.73 g/cm³. The energy above the most stable polymorph in this dataset comes out at 0.0 meV per atom. Its uncorrected formation energy is -1.26 eV/atom. The calculated volume is 42.39 Å³ per atom.

abc: 4.5904 4.5904 9.6622
angles: 76.26 76.26 60.00
Positions (direct):
I (0.0837, 0.0837, 0.7490)
K (0.6678, 0.6678, 0.9967)
I (0.2492, 0.2492, 0.2524)
Sr (0.4994, 0.4994, 0.5019)

# 6
Material: KSr2I2
Method: DFT, GGA-PBE
State: optimized geometry

Summary:
The value obtained for the density is 2.96 g/cm³. The energy above the most stable polymorph in this dataset comes out at 0.0 meV per atom. Its uncorrected formation energy is -0.89 eV/atom. The calculated volume is 52.56 Å³ per atom.

abc: 5.8299 5.8299 8.7622
angles: 70.57 70.57 90.00
Positions (direct):
I (0.7500, 0.2500, 0.5000)
K (0.0000, 0.0000, 0.0000)
Sr (0.6318, 0.6318, 0.7363)
I (0.2500, 0.7500, 0.5000)
Sr (0.3682, 0.3682, 0.2637)

# 7
Material: K2SrI4
Method: DFT, GGA-PBE
State: optimized geometry

Summary:
The value obtained for the density is 2.97 g/cm³. The energy above the most stable polymorph in this dataset comes out at 0.0 meV per atom. Its uncorrected formation energy is -1.57 eV/atom. The calculated volume is 53.79 Å³ per atom.

abc: 10.3934 10.3934 13.9421
angles: 90.00 90.00 90.00
Positions (direct):
K (0.5000, 0.7587, 0.5000)
I (0.4567, 0.2320, 0.7457)
K (0.2563, 0.7437, 0.1250)
I (0.5433, 0.2320, 0.2543)
I (0.7680, 0.4567, 0.9957)
K (0.5000, 0.2413, 0.0000)
I (0.5433, 0.7680, 0.2457)
I (0.9804, 0.2318, 0.2374)
Sr (0.0000, 0.7576, 0.5000)
I (0.0196, 0.2318, 0.7626)
I (0.7680, 0.5433, 0.5043)
I (0.9804, 0.7682, 0.2626)
K (0.7587, 0.5000, 0.2500)
Sr (0.2424, 0.0000, 0.7500)
I (0.7682, 0.0196, 0.0126)
Sr (0.0000, 0.2424, 0.0000)
K (0.7437, 0.2563, 0.6250)
I (0.4567, 0.7680, 0.7543)
I (0.2320, 0.4567, 0.0043)
K (0.2563, 0.2563, 0.3750)
K (0.7437, 0.7437, 0.8750)
Sr (0.7576, 0.0000, 0.2500)
I (0.7682, 0.9804, 0.4874)
K (0.2413, 0.5000, 0.7500)
I (0.0196, 0.7682, 0.7374)
I (0.2318, 0.0196, 0.9874)
I (0.2320, 0.5433, 0.4957)
I (0.2318, 0.9804, 0.5126)

# 8
Material: KSr2I5
Method: DFT, GGA-PBE
State: optimized geometry

Summary:
The value obtained for the density is 3.89 g/cm³. The energy above the most stable polymorph in this dataset comes out at 36.3 meV per atom. Its uncorrected formation energy is -1.60 eV/atom. The calculated volume is 45.29 Å³ per atom.

abc: 4.9920 8.3678 9.9492
angles: 114.87 104.53 90.00
Positions (direct):
I (0.6523, 0.3878, 0.3047)
I (0.0000, 0.5000, 0.0000)
I (0.6523, 0.9169, 0.3047)
Sr (0.1868, 0.6868, 0.3736)
K (0.0000, 0.0000, 0.0000)
I (0.3477, 0.0831, 0.6953)
I (0.3477, 0.6122, 0.6953)
Sr (0.8132, 0.3132, 0.6264)

# 9
Material: KSrI3
Method: DFT, GGA-PBE
State: optimized geometry

Summary:
The value obtained for the density is 3.82 g/cm³. Its uncorrected formation energy is -1.61 eV/atom. The calculated volume is 44.08 Å³ per atom.

abc: 4.9143 9.4755 18.9336
angles: 90.00 90.00 90.00
Positions (direct):
K (0.2500, 0.1107, 0.2096)
K (0.7500, 0.3893, 0.7096)
I (0.2500, 0.3632, 0.5551)
Sr (0.2500, 0.7738, 0.5420)
I (0.2500, 0.1725, 0.7916)
Sr (0.7500, 0.2262, 0.4580)
I (0.7500, 0.4904, 0.9043)
I (0.7500, 0.3275, 0.2916)
I (0.2500, 0.5096, 0.0957)
I (0.2500, 0.6725, 0.7084)
I (0.2500, 0.0096, 0.4043)
I (0.7500, 0.6368, 0.4449)
Sr (0.2500, 0.2738, 0.9580)
Sr (0.7500, 0.7262, 0.0420)
K (0.2500, 0.6107, 0.2904)
I (0.7500, 0.1368, 0.0551)
I (0.2500, 0.8632, 0.9449)
I (0.7500, 0.9904, 0.5957)
K (0.7500, 0.8893, 0.7904)
I (0.7500, 0.8275, 0.2084)

# 10
Material: KSrI2
Method: DFT, GGA-PBE
State: optimized geometry

Summary:
The value obtained for the density is 2.60 g/cm³. The energy above the most stable polymorph in this dataset comes out at 149.3 meV per atom. Its uncorrected formation energy is -1.11 eV/atom. The calculated volume is 60.81 Å³ per atom.

abc: 7.9615 7.9615 9.5182
angles: 65.28 65.28 90.00
Positions (direct):
Sr (0.7500, 0.2500, 0.5000)
K (0.5000, 0.5000, 0.0000)
Sr (0.0000, 0.0000, 0.0000)
I (0.3750, 0.3493, 0.7500)
I (0.0993, 0.6250, 0.2500)
K (0.2500, 0.7500, 0.5000)
I (0.6507, 0.1250, 0.2500)
I (0.8750, 0.9007, 0.7500)

Which formula does entry 8 have?
KSr2I5